#A
{
  "formula": "YRuRh",
  "functional": "PBE-GGA",
  "state": "relaxed",
  "n_ef_per_ev_cell": 4.1,
  "space_group": "P-6m2",
  "lattice_angstrom": [[-3.350, -0.477, 2.908], [2.638, -3.470, -0.953], [1.996, 0.848, 2.438]],
  "species": ["Rh", "Ru", "Y"],
  "fractional_positions": [[0.000, 0.000, 0.167], [0.333, 0.667, 0.167], [0.667, 0.333, 0.667]]
}

***

#B
{
  "formula": "YRuRh",
  "functional": "PBE-GGA",
  "state": "relaxed",
  "n_ef_per_ev_cell": 6.3,
  "space_group": "Imma",
  "lattice_angstrom": [[4.465, 0.000, 2.507], [1.500, 4.505, 2.558], [-0.090, 0.157, 5.390]],
  "species": ["Y", "Y", "Ru", "Ru", "Rh", "Rh"],
  "fractional_positions": [[0.879, 0.371, 0.371], [0.121, 0.629, 0.629], [0.000, 0.000, 0.000], [0.500, 0.000, 0.000], [0.500, 0.500, 0.000], [0.500, 0.000, 0.500]]
}

***

Looking at the structures above, which would you pick as the most stable? I would pick #B.